(1)
# PBE Li2Sm3Pd5, optimized geometry
data_Li2Sm3Pd5
_chemical_formula_sum 'Li4 Sm6 Pd10'
_symmetry_space_group_name_H-M 'P 1'
_symmetry_Int_Tables_number 1
_symmetry_space_group_name_Hall 'P 1'
_cell_length_a 3.7648
_cell_length_b 10.0155
_cell_length_c 10.0155
_cell_angle_alpha 90.00
_cell_angle_beta 90.00
_cell_angle_gamma 90.00
loop_
_atom_site_label
_atom_site_fract_x
_atom_site_fract_y
_atom_site_fract_z
Li1 0.0000 0.1193 0.6193
Li2 0.0000 0.8807 0.3807
Li3 0.0000 0.3807 0.1193
Li4 0.0000 0.6193 0.8807
Sm1 0.0000 0.3249 0.8249
Sm2 0.0000 0.6751 0.1751
Sm3 0.0000 0.1751 0.3249
Sm4 0.0000 0.8249 0.6751
Sm5 0.0000 0.0000 0.0000
Sm6 0.0000 0.5000 0.5000
Pd1 0.5000 0.2173 0.0704
Pd2 0.5000 0.7827 0.9296
Pd3 0.5000 0.9296 0.2173
Pd4 0.5000 0.0704 0.7827
Pd5 0.5000 0.2827 0.5704
Pd6 0.5000 0.7173 0.4296
Pd7 0.5000 0.5704 0.7173
Pd8 0.5000 0.4296 0.2827
Pd9 0.5000 0.0000 0.5000
Pd10 0.5000 0.5000 0.0000
# N(E_F), states/eV/f.u.: 3.9
# Magnetization, μB/f.u.: 0.00
# Calculated volume, Å³/f.u.: 189
# Energy of formation from the pure elements, kJ per mole of atoms: -67



(2)
# PBE KTb2Pb3Se6, optimized geometry
data_KTb2Pb3Se6
_chemical_formula_sum 'K1 Tb2 Pb3 Se6'
_symmetry_space_group_name_H-M 'P 1'
_symmetry_Int_Tables_number 1
_symmetry_space_group_name_Hall 'P 1'
_cell_length_a 4.1451
_cell_length_b 9.3655
_cell_length_c 9.6091
_cell_angle_alpha 102.00
_cell_angle_beta 102.46
_cell_angle_gamma 90.00
loop_
_atom_site_label
_atom_site_fract_x
_atom_site_fract_y
_atom_site_fract_z
K1 0.5000 0.0000 0.0000
Tb1 0.8323 0.6644 0.6645
Tb2 0.1677 0.3356 0.3355
Pb1 0.5000 0.5000 0.0000
Pb2 0.8406 0.1667 0.6812
Pb3 0.1594 0.8333 0.3188
Se1 0.3198 0.8746 0.6396
Se2 0.6706 0.5570 0.3412
Se3 0.6802 0.1254 0.3604
Se4 0.0141 0.2698 0.0283
Se5 0.9859 0.7302 0.9717
Se6 0.3294 0.4430 0.6588
# N(E_F), states/eV/f.u.: 3.7
# Calculated total energy, eV/atom: -4.6360
# Magnetization, μB/f.u.: 0.00
# Calculated volume, Å³/f.u.: 356



> What is the magnetization in the first record?

0.00 μB/f.u.



> Which of these has the lowest N(E_F)?

KTb2Pb3Se6